Below is a relaxed CeMo2O8 crystal, with properties calculated at the GGA+U level.

The structure in POSCAR format:
```
CeMo2O8
1.0
-2.4654 2.4654 5.4625
2.4654 -2.4654 5.4625
2.4654 2.4654 -5.4625
Ce Mo O
1 2 8
Direct
0.0000 0.0000 0.0000
0.2500 0.7500 0.5000
0.7500 0.2500 0.5000
0.0836 0.5858 0.9525
0.1311 0.0836 0.4978
0.3667 0.4142 0.4978
0.4142 0.9164 0.0475
0.5858 0.6333 0.5022
0.6333 0.1311 0.0475
0.8689 0.3667 0.9525
0.9164 0.8689 0.5022
```

crystal system = tetragonal
VASP energy = -6.9991 eV/atom
theoretical density = 5.751 g/cm3
volume = 132.8 Å³ per cell